(1)
Here is a relaxed structure of SnPtN2F from Alexandria. Energies are from PBE-GGA.

## Properties
Total moment, μB/atom: 0.00
E_tot, eV/cell: -24.1
ΔE to the lowest computed polymorph, meV per atom: 430
Mass density, g/cm³: 8.72
Formation energy without anion corrections, eV per atom: 0.90
Space group: No. 123

Cell lengths 4.163, 4.163, 3.967 Å; angles 90.00, 90.00, 90.00 degrees
Fractional coordinates of all 5 atoms:
N1 0.500 0.000 0.000
Pt1 0.500 0.500 0.500
N2 0.000 0.500 0.000
Sn1 0.000 0.000 0.000
F1 0.000 0.000 0.500

(2)
Here is a relaxed structure of SnPtN2F from Alexandria. Energies are from PBE-GGA.

## Properties
Total moment, μB/atom: 0.00
E_tot, eV/cell: -26.2
ΔE to the lowest computed polymorph, meV per atom: 0
Mass density, g/cm³: 7.56
Formation energy without anion corrections, eV per atom: 0.47
Space group: No. 123

Cell lengths 3.801, 3.801, 5.482 Å; angles 90.00, 90.00, 90.00 degrees
Fractional coordinates of all 5 atoms:
Sn1 0.500 0.500 0.500
F1 0.000 0.000 0.500
N1 0.000 0.500 0.000
Pt1 0.000 0.000 0.000
N2 0.500 0.000 0.000

(3)
Here is a relaxed structure of SrPtNF2 from Alexandria. Energies are from PBE-GGA.

## Properties
Total moment, μB/atom: 0.31
E_tot, eV/cell: -21.7
ΔE to the lowest computed polymorph, meV per atom: 833
Mass density, g/cm³: 5.30
Formation energy without anion corrections, eV per atom: -0.38
Space group: No. 123

Cell lengths 4.050, 6.399, 4.050 Å; angles 90.00, 90.00, 90.00 degrees
Site moments in Bohr magnetons follow the coordinates.
Fractional coordinates of all 5 atoms:
F1 0.000 0.000 0.500  0.00
N1 0.500 0.500 0.500  0.94
Pt1 0.000 0.000 0.000  -0.01
Sr1 0.000 0.500 0.000  0.00
F2 0.500 0.000 0.000  0.00

> Look up the total moment of the second one.

0.00 μB/atom

> What is the ΔE to the lowest computed polymorph in the first record?

430 meV per atom

Please write out number 1 again, unchanged.
Here is a relaxed structure of SnPtN2F from Alexandria. Energies are from PBE-GGA.

## Properties
Total moment, μB/atom: 0.00
E_tot, eV/cell: -24.1
ΔE to the lowest computed polymorph, meV per atom: 430
Mass density, g/cm³: 8.72
Formation energy without anion corrections, eV per atom: 0.90
Space group: No. 123

Cell lengths 4.163, 4.163, 3.967 Å; angles 90.00, 90.00, 90.00 degrees
Fractional coordinates of all 5 atoms:
N1 0.500 0.000 0.000
Pt1 0.500 0.500 0.500
N2 0.000 0.500 0.000
Sn1 0.000 0.000 0.000
F1 0.000 0.000 0.500